1.
A relaxed structure of Sm5TlCu4, computed with PBE-GGA.

Summary:
Energy of formation from the pure elements, eV/atom: -0.209
D(E_F), states/eV per cell: 8.03

Unit cell a=3.5676 b=3.5676 c=18.5432 alpha=90.00 beta=90.00 gamma=90.00
Closest atoms and distances in Å follow each position.
Space group P4/mmm (No. 123)
Symmetry-distinct sites (fractional):
Sm 0.0000 0.0000 0.0000 x1  8 Cu 3.09
Sm 0.0000 0.0000 0.1909 x2  8 Cu 3.06-3.08
Sm 0.0000 0.0000 0.3810 x2  4 Cu 3.10, 4 Tl 3.35
Tl 0.5000 0.5000 0.5000 x1  8 Sm 3.35, 4 Tl 3.57
Cu 0.5000 0.5000 0.0958 x2  8 Sm 3.08-3.09
Cu 0.5000 0.5000 0.2842 x2  8 Sm 3.06-3.10



2.
A relaxed structure of Dy3Tl2N, computed with PBE-GGA.

Summary:
Uncorrected formation energy, eV/atom: -0.6247
D(E_F), states/eV per cell: 14.85

Unit cell a=15.0796 b=5.6433 c=7.0127 alpha=90.00 beta=103.58 gamma=90.00
Closest atoms and distances in Å follow each position.
Space group C2/c (No. 15)
Symmetry-distinct sites (fractional):
Dy 0.0000 0.0040 0.2500 x4  2 N 2.76-2.88
Dy 0.1076 0.4981 0.5551 x8  2 N 2.36
Tl 0.2008 0.0021 0.0979 x8  6 Dy 3.13-3.44, 2 Tl 3.51
N 0.0000 0.4938 0.2500 x4  4 Dy 2.36



Which formula does entry 2 have?
Dy3Tl2N